No. 1
Computed, not measured: Ag8GeS6 after structural relaxation at the PBE level of DFT.

* mass density: 6042 kg/m³
* V: 20.67 Å³/atom
* M_tot: 0.0 μB/f.u.
* raw formation energy: -0.13 eV/atom
* VASP energy: -54.13 eV/f.u.
* ΔE to the lowest computed polymorph: 0.0 meV per atom

Unit cell a=7.731 b=7.544 c=10.631 alpha=90.00 beta=90.00 gamma=90.00
Space group Pmn2_1 (No. 31)
Asymmetric unit:
Ag (0.000, 0.122, 0.000)
Ag (0.000, 0.211, 0.445)
Ag (0.203, 0.648, 0.119)
Ag (0.204, 0.605, 0.829)
Ag (0.205, 0.029, 0.233)
Ge (0.000, 0.745, 0.484)
S (0.000, 0.298, 0.215)
S (0.000, 0.507, 0.614)
S (0.000, 0.784, 0.968)
S (0.000, 0.982, 0.612)
S (0.241, 0.745, 0.366)


No. 2
Computed, not measured: Sm4Dy3Sn4 after structural relaxation at the PBE level of DFT.

* mass density: 8011 kg/m³
* V: 29.47 Å³/atom
* calculated formation energy: -0.547 eV per atom
* M_tot: 0.0 μB/f.u.
* VASP energy: -54.71 eV/f.u.

Unit cell a=3.551 b=9.619 c=18.979 alpha=90.00 beta=90.00 gamma=90.00
Space group Immm (No. 71)
Asymmetric unit:
Sm (0.000, 0.178, 0.163)
Dy (0.000, 0.000, 0.409)
Dy (0.000, 0.500, 0.500)
Sn (0.000, 0.279, 0.000)
Sn (0.000, 0.500, 0.225)


No. 3
Computed, not measured: Ce2Ni4SbAs3 after structural relaxation at the PBE level of DFT.

* mass density: 8192 kg/m³
* V: 17.46 Å³/atom
* M_tot: 0.9 μB/f.u.
* raw formation energy: -0.75 eV/atom
* VASP energy: -60.54 eV/f.u.

Unit cell a=4.264 b=4.264 c=9.604 alpha=90.00 beta=90.00 gamma=90.00
Space group P-4m2 (No. 115)
Asymmetric unit:
Ce (0.000, 0.500, 0.232)
Ni (0.000, 0.000, 0.000)
Ni (0.000, 0.500, 0.633)
Ni (0.500, 0.500, 0.000)
Sb (0.000, 0.000, 0.500)
As (0.000, 0.500, 0.876)
As (0.500, 0.500, 0.500)


No. 4
Computed, not measured: Sr2BMoPd after structural relaxation at the PBE level of DFT.

* mass density: 5006 kg/m³
* V: 25.77 Å³/atom
* calculated formation energy: 0.435 eV per atom
* M_tot: 2.5 μB/f.u.
* VASP energy: -23.89 eV/f.u.

Unit cell a=5.531 b=5.531 c=4.211 alpha=90.00 beta=90.00 gamma=90.00
Space group P4/mmm (No. 123)
Asymmetric unit:
Sr (0.000, 0.500, 0.000)
B (0.000, 0.000, 0.000)
Mo (0.000, 0.000, 0.500)
Pd (0.500, 0.500, 0.500)